Record 1
## NdAuSO (PBE)

Data for crystalline NdAuSO at its relaxed geometry.

abc: 4.1198 5.6905 6.6640
angles: 90.00 90.00 90.00
Fractional coordinates of all 8 atoms:
Nd: 0.0000 0.2365 0.0000
Nd: 0.0000 0.7635 0.5000
Au: 0.5000 0.3221 0.5999
Au: 0.5000 0.6779 0.0999
S: 0.5000 0.0863 0.2945
S: 0.5000 0.9137 0.7945
O: 0.0000 0.4575 0.7146
O: 0.0000 0.5425 0.2146

Summary:
* E above lowest polymorph: 1.863 eV/f.u.
* M_tot: 0.00 μB/atom



Record 2
## NdSnAuO3 (PBE)

Data for crystalline NdSnAuO3 at its relaxed geometry.

abc: 6.8071 6.8071 8.3660
angles: 90.00 90.00 148.69
Fractional coordinates of all 12 atoms:
Nd: 0.0000 0.0000 0.0000
Nd: 0.0000 0.0000 0.5000
Sn: 0.3173 0.6827 0.7500
Sn: 0.6827 0.3173 0.2500
Au: 0.3597 0.6403 0.2500
Au: 0.6403 0.3597 0.7500
O: 0.0885 0.9115 0.2500
O: 0.3830 0.6170 0.0030
O: 0.3830 0.6170 0.4970
O: 0.6170 0.3830 0.5030
O: 0.6170 0.3830 0.9970
O: 0.9115 0.0885 0.7500

Summary:
* E: -0.2293 Ha/atom
* M_tot: 0.00 μB/atom